Entry 1:
4
Lattice="3.525 0.000 0.000 0.000 3.525 0.000 0.000 0.000 8.513" Properties=species:S:1:pos:R:3 comment="Pr2ZrCu (PBE-GGA, optimized geometry)" energy_ry_per_atom=-0.4048 space_group="No. 123" delta_e_f_ev_per_atom=0.0436 pbc="T T T"
Pr 0.000 0.000 1.880
Pr 0.000 0.000 6.633
Zr 1.763 1.763 4.257
Cu 1.763 1.763 0.000

Entry 2:
4
Lattice="1.831 1.057 7.945 -1.831 1.057 7.945 0.000 -2.114 7.945" Properties=species:S:1:pos:R:3 comment="SiAgSe2 (PBE-GGA, optimized geometry)" energy_ry_per_atom=-0.2839 raw_formation_energy_kcal_per_mol_atoms=-1.19 space_group="No. 166" pbc="T T T"
Si 0.000 0.000 0.000
Ag 0.000 0.000 11.917
Se 0.000 0.000 9.368
Se 0.000 0.000 14.466

Entry 3:
4
Lattice="3.222 0.000 0.000 0.000 5.079 0.000 -0.147 0.000 5.490" Properties=species:S:1:pos:R:3 comment="LaInW2 (PBE-GGA, optimized geometry)" energy_ry_per_atom=-0.5604 space_group="No. 10" delta_e_f_ev_per_atom=0.7687 pbc="T T T"
La 0.000 0.000 0.000
In 1.538 0.000 2.745
W 0.815 2.540 4.432
W 2.261 2.540 1.058

Entry 4:
4
Lattice="3.409 0.000 0.000 0.000 3.409 0.000 0.000 0.000 7.621" Properties=species:S:1:pos:R:3 comment="HoSn2Pd (PBE-GGA, optimized geometry)" energy_ry_per_atom=-0.3625 space_group="No. 123" delta_e_f_ev_per_atom=-0.4879 pbc="T T T"
Ho 0.000 0.000 0.000
Sn 1.705 1.705 2.181
Sn 1.705 1.705 5.440
Pd 0.000 0.000 3.811

| no. | Fermi-level density of states (states/eV/f.u.) |
| --- | --- |
| 1 | 4.40 |
| 2 | 1.62 |
| 3 | 2.52 |
| 4 | 2.71 |